{
  "formula": "BaSrCdO3",
  "functional": "PBE-GGA",
  "state": "relaxed",
  "lattice": [[7.173, 0.000, 0.000], [0.000, 3.590, 0.000], [-0.809, 0.000, 9.998]],
  "species": ["Ba", "Ba", "Sr", "Sr", "Cd", "Cd", "O", "O", "O", "O", "O", "O"],
  "fractional_positions": [[0.191, 0.250, 0.246], [0.809, 0.750, 0.754], [0.342, 0.750, 0.886], [0.658, 0.250, 0.114], [0.154, 0.250, 0.590], [0.846, 0.750, 0.410], [0.114, 0.250, 0.803], [0.187, 0.750, 0.463], [0.404, 0.750, 0.128], [0.596, 0.250, 0.872], [0.813, 0.250, 0.537], [0.886, 0.750, 0.197]],
  "formation_energy_uncorrected_ev_per_atom": -2.00,
  "total_energy_ev_per_atom": -5.24
}